{"formula": "Tl2SiHgAu6", "functional": "PBE", "state": "relaxed", "cell": [[6.815, 0.000, 0.000], [0.000, 8.762, 0.000], [0.000, 0.000, 7.892]], "species": ["Tl", "Tl", "Tl", "Tl", "Si", "Si", "Hg", "Hg", "Au", "Au", "Au", "Au", "Au", "Au", "Au", "Au", "Au", "Au", "Au", "Au"], "fractional_positions": [[0.250, 0.054, 0.167], [0.250, 0.446, 0.167], [0.750, 0.554, 0.833], [0.750, 0.946, 0.833], [0.250, 0.250, 0.731], [0.750, 0.750, 0.269], [0.250, 0.750, 0.787], [0.750, 0.250, 0.213], [0.035, 0.750, 0.085], [0.042, 0.750, 0.465], [0.250, 0.015, 0.558], [0.250, 0.485, 0.558], [0.458, 0.750, 0.465], [0.465, 0.750, 0.085], [0.535, 0.250, 0.915], [0.542, 0.250, 0.535], [0.750, 0.515, 0.442], [0.750, 0.985, 0.442], [0.958, 0.250, 0.535], [0.965, 0.250, 0.915]], "dos_at_fermi_per_ev_atom": 0.328}


{"formula": "TlSiHgAu2", "functional": "PBE", "state": "relaxed", "cell": [[4.880, 0.000, 0.000], [0.000, 4.880, 0.000], [0.000, 0.000, 5.250]], "species": ["Tl", "Si", "Hg", "Au", "Au"], "fractional_positions": [[0.000, 0.000, 0.000], [0.500, 0.500, 0.500], [0.500, 0.500, 0.000], [0.000, 0.500, 0.500], [0.500, 0.000, 0.500]], "dos_at_fermi_per_ev_atom": 0.350}


The calculation returns the following total magnetic moment values, one per record and in order: 0.00, 0.00 μB/cell.
The calculation returns the following uncorrected formation energy values, one per record and in order: -0.01, 0.07 eV per atom.
The calculation returns the following total DFT energy (no corrections) values, one per record and in order: -30.24, -14.27 eV/f.u..